Record 1
Below is a relaxed structure of SmUPa2C4, with properties calculated at the PBE-GGA level.

a = 3.5964 Å, b = 6.2311 Å, c = 6.2200 Å
α = 70.31°, β = 90.00°, γ = 90.00°
With the nearest neighbours (Å) after each atom.
Fractional positions:
Sm: 0.5000 0.5000 0.0000  6 C 2.62-2.64
U: 0.0000 0.5000 0.5000  6 C 2.47-2.49
Pa: 0.0000 0.0000 0.0000  6 C 2.59-2.63
Pa: 0.5000 0.0000 0.5000  6 C 2.45-2.47
C: 0.0000 0.7608 0.7228  3 Pa 2.45-2.63, 1 U 2.47, 2 Sm 2.64
C: 0.0000 0.2392 0.2772  3 Pa 2.45-2.63, 1 U 2.47, 2 Sm 2.64
C: 0.5000 0.7475 0.2671  3 Pa 2.47-2.59, 2 U 2.49, 1 Sm 2.62
C: 0.5000 0.2525 0.7329  3 Pa 2.47-2.59, 2 U 2.49, 1 Sm 2.62

Values from the calculation:
The calculation puts the final energy at -9.26 eV per atom. The space group is No. 10. The calculation puts the energy relative to the elements at -2.2 eV per formula unit. Its total magnetization is 0.08 μB per formula unit. Its density of states at the Fermi level is 8.15 states/eV/cell.


Record 2
Below is a relaxed structure of Tm8PC3S4, with properties calculated at the PBE-GGA level.

a = 7.4518 Å, b = 7.5997 Å, c = 7.4518 Å
α = 119.36°, β = 120.00°, γ = 90.00°
With the nearest neighbours (Å) after each atom.
Fractional positions:
Tm: 0.2482 0.7185 0.9703  2 C 2.50, 1 P 2.64, 1 S 2.70
Tm: 0.2482 0.7185 0.4964  2 C 2.50, 1 P 2.65, 1 S 2.70
Tm: 0.2627 0.2881 0.5254  3 C 2.53, 3 S 2.81
Tm: 0.7221 0.7185 0.9703  2 C 2.50, 1 P 2.64, 1 S 2.70
Tm: 0.2779 0.2815 0.0297  2 C 2.50, 1 P 2.64, 1 S 2.70
Tm: 0.7373 0.7119 0.4746  3 C 2.53, 3 S 2.81
Tm: 0.7518 0.2815 0.5036  2 C 2.50, 1 P 2.65, 1 S 2.70
Tm: 0.7518 0.2815 0.0297  2 C 2.50, 1 P 2.64, 1 S 2.70
P: 0.0000 0.5000 0.0000  6 Tm 2.64-2.65
C: 0.5000 0.5000 0.0000  6 Tm 2.50-2.53
C: 0.5000 0.5000 0.5000  6 Tm 2.50-2.53
C: 0.0000 0.5000 0.5000  6 Tm 2.50-2.53
S: 0.5000 0.0000 0.0000  6 Tm 2.70
S: 0.5000 0.0000 0.5000  6 Tm 2.81-2.83
S: 0.0000 0.0000 0.0000  6 Tm 2.81-2.83
S: 0.0000 0.0000 0.5000  6 Tm 2.81-2.83

Values from the calculation:
The calculation puts the final energy at -6.78 eV per atom. The space group is No. 166. Its total magnetization is 0.00 μB per formula unit. Its density of states at the Fermi level is 2.53 states/eV/cell. The formation energy (no corrections) is -2231 kJ/mol of formula units.


Record 3
Below is a relaxed structure of RbRh2N2, with properties calculated at the PBE-GGA level.

a = 3.8141 Å, b = 3.8141 Å, c = 6.8600 Å
α = 73.86°, β = 73.86°, γ = 90.00°
With the nearest neighbours (Å) after each atom.
Fractional positions:
Rh: 0.3074 0.3074 0.3852  4 N 2.04
Rh: 0.6926 0.6926 0.6148  4 N 2.04
Rb: 0.0000 0.0000 0.0000  10 Rh 3.63-3.88, 8 N 3.69, 4 Rb 3.81
N: 0.7500 0.2500 0.5000  4 Rh 2.04
N: 0.2500 0.7500 0.5000  4 Rh 2.04

Values from the calculation:
Its offset from the most stable computed form is 0.0000 eV/atom. The calculation puts the final energy at -5.90 eV per atom. The space group is No. 139. Its total magnetization is 0.00 μB per formula unit. Its density of states at the Fermi level is 3.28 states/eV/cell. The formation energy (no corrections) is 271 kJ/mol of formula units.


Record 4
Below is a relaxed structure of SrMoP3, with properties calculated at the PBE-GGA level.

a = 4.7733 Å, b = 4.7733 Å, c = 4.7733 Å
α = 90.00°, β = 90.00°, γ = 90.00°
With the nearest neighbours (Å) after each atom.
Fractional positions:
Sr: 0.5000 0.5000 0.5000  12 P 3.38
Mo: 0.0000 0.0000 0.0000  6 P 2.39
P: 0.0000 0.5000 0.0000  2 Mo 2.39
P: 0.0000 0.0000 0.5000  2 Mo 2.39
P: 0.5000 0.0000 0.0000  2 Mo 2.39

Values from the calculation:
Its offset from the most stable computed form is 0.0000 eV/atom. The calculation puts the final energy at -6.02 eV per atom. The space group is No. 221. The calculation puts the energy relative to the elements at -1.4 eV per formula unit. Its total magnetization is 0.00 μB per formula unit. Its density of states at the Fermi level is 2.03 states/eV/cell.


The lowest final energy belongs to which entry?
SmUPa2C4


Among the records above, which one has the highest final energy?
RbRh2N2


Which value of total magnetization does entry 3 give?
0.00 μB per formula unit


What is the final energy in the second record?
-6.78 eV per atom